Y3MoO | GGA+U | relaxed

a b c (Å): 4.748 4.748 4.748
angles (deg): 90.00 90.00 90.00
Sites, in units of the cell vectors:
Mo (0.500, 0.500, 0.500)
Y (0.000, 0.000, 0.500)
Y (0.000, 0.500, 0.000)
Y (0.500, 0.000, 0.000)
O (0.000, 0.000, 0.000)

Calculated values
V   107.06 Å³/cell
Crystal system   cubic
Raw total energy   -34.925 eV for the cell shown
Space-group type   Pm-3m, No. 221
N(E_F)   3.57 states/eV per cell